(1)
# Rb2CdF6 PBE relaxed
# * calculated total energy: -3.511 eV/atom
# * space group: P2_1/c (14)
# * ΔE_f (raw): -1947 meV per atom
data_Rb2CdF6
_chemical_formula_sum 'Rb4 Cd2 F12'
_cell_length_a 6.1746
_cell_length_b 8.0873
_cell_length_c 8.2854
_cell_angle_alpha 90.00
_cell_angle_beta 118.47
_cell_angle_gamma 90.00
_space_group_name_H-M_alt 'P 1'
_space_group_IT_number 1
_space_group_name_Hall 'P 1'
loop_
_atom_site_label
_atom_site_fract_x
_atom_site_fract_y
_atom_site_fract_z
_atom_site_occupancy
Rb1 0.1789 0.0720 0.3203 1
Rb2 0.1789 0.4280 0.8203 1
Rb3 0.8211 0.5720 0.1797 1
Rb4 0.8211 0.9280 0.6797 1
Cd1 0.5000 0.0000 0.0000 1
Cd2 0.5000 0.5000 0.5000 1
F1 0.1860 0.1167 0.9819 1
F2 0.1860 0.3833 0.4819 1
F3 0.3197 0.7304 0.4510 1
F4 0.3197 0.7696 0.9510 1
F5 0.3428 0.0341 0.7140 1
F6 0.3428 0.4659 0.2140 1
F7 0.6572 0.5341 0.7860 1
F8 0.6572 0.9659 0.2860 1
F9 0.6803 0.2304 0.0490 1
F10 0.6803 0.2696 0.5490 1
F11 0.8140 0.6167 0.5181 1
F12 0.8140 0.8833 0.0181 1



(2)
# Pr3SbO7 PBE relaxed
# * calculated total energy: -7.666 eV/atom
# * space group: C222_1 (20)
# * ΔE_f (raw): -2833 meV per atom
data_Pr3SbO7
_chemical_formula_sum 'Pr6 Sb2 O14'
_cell_length_a 6.7460
_cell_length_b 6.7460
_cell_length_c 7.8158
_cell_angle_alpha 90.00
_cell_angle_beta 90.00
_cell_angle_gamma 109.70
_space_group_name_H-M_alt 'P 1'
_space_group_IT_number 1
_space_group_name_Hall 'P 1'
loop_
_atom_site_label
_atom_site_fract_x
_atom_site_fract_y
_atom_site_fract_z
_atom_site_occupancy
Pr1 0.0007 0.0007 0.0000 1
Pr2 0.0324 0.4992 0.2501 1
Pr3 0.4992 0.0324 0.7499 1
Pr4 0.5008 0.9676 0.2499 1
Pr5 0.9676 0.5008 0.7501 1
Pr6 0.9993 0.9993 0.5000 1
Sb1 0.5000 0.5000 0.0000 1
Sb2 0.5000 0.5000 0.5000 1
O1 0.1296 0.8704 0.7500 1
O2 0.1346 0.8654 0.2500 1
O3 0.1879 0.4315 0.9724 1
O4 0.1881 0.4320 0.5278 1
O5 0.4315 0.1879 0.0276 1
O6 0.4320 0.1881 0.4722 1
O7 0.4383 0.5617 0.2500 1
O8 0.5617 0.4383 0.7500 1
O9 0.5680 0.8119 0.9722 1
O10 0.5685 0.8121 0.5276 1
O11 0.8119 0.5680 0.0278 1
O12 0.8121 0.5685 0.4724 1
O13 0.8654 0.1346 0.7500 1
O14 0.8704 0.1296 0.2500 1



(3)
# AcEr2Ga2 PBE relaxed
# * calculated total energy: -4.239 eV/atom
# * space group: P2_1/m (11)
data_AcEr2Ga2
_chemical_formula_sum 'Ac2 Er4 Ga4'
_cell_length_a 5.3446
_cell_length_b 4.5888
_cell_length_c 11.7120
_cell_angle_alpha 90.00
_cell_angle_beta 94.69
_cell_angle_gamma 90.00
_space_group_name_H-M_alt 'P 1'
_space_group_IT_number 1
_space_group_name_Hall 'P 1'
loop_
_atom_site_label
_atom_site_fract_x
_atom_site_fract_y
_atom_site_fract_z
_atom_site_occupancy
Ac1 0.1918 0.2500 0.2455 1
Ac2 0.8082 0.7500 0.7545 1
Er1 0.2447 0.7500 0.4924 1
Er2 0.3444 0.2500 0.8910 1
Er3 0.6556 0.7500 0.1090 1
Er4 0.7553 0.2500 0.5076 1
Ga1 0.1444 0.7500 0.0196 1
Ga2 0.2786 0.2500 0.6435 1
Ga3 0.7214 0.7500 0.3565 1
Ga4 0.8556 0.2500 0.9804 1



(4)
# CrSi2TcI PBE relaxed
# * calculated total energy: -4.074 eV/atom
# * space group: P4/mmm (123)
# * ΔE_f (raw): 2403 meV per atom
data_CrSi2TcI
_chemical_formula_sum 'Cr1 Si2 Tc1 I1'
_cell_length_a 5.2143
_cell_length_b 5.2143
_cell_length_c 4.6330
_cell_angle_alpha 90.00
_cell_angle_beta 90.00
_cell_angle_gamma 90.00
_space_group_name_H-M_alt 'P 1'
_space_group_IT_number 1
_space_group_name_Hall 'P 1'
loop_
_atom_site_label
_atom_site_fract_x
_atom_site_fract_y
_atom_site_fract_z
_atom_site_occupancy
Cr1 0.0000 0.0000 0.0000 1
Si1 0.0000 0.5000 0.5000 1
Si2 0.5000 0.0000 0.5000 1
Tc1 0.5000 0.5000 0.0000 1
I1 0.0000 0.0000 0.5000 1



(5)
# TlGa PBE relaxed
# * calculated total energy: -2.630 eV/atom
# * space group: P2_1/m (11)
data_TlGa
_chemical_formula_sum 'Tl2 Ga2'
_cell_length_a 5.0492
_cell_length_b 3.5217
_cell_length_c 6.2450
_cell_angle_alpha 90.00
_cell_angle_beta 113.08
_cell_angle_gamma 90.00
_space_group_name_H-M_alt 'P 1'
_space_group_IT_number 1
_space_group_name_Hall 'P 1'
loop_
_atom_site_label
_atom_site_fract_x
_atom_site_fract_y
_atom_site_fract_z
_atom_site_occupancy
Tl1 0.1559 0.2500 0.2959 1
Tl2 0.8441 0.7500 0.7041 1
Ga1 0.3991 0.2500 0.8228 1
Ga2 0.6009 0.7500 0.1772 1



(6)
# YAl2Ga4 PBE relaxed
# * calculated total energy: -3.907 eV/atom
# * space group: R-3m (166)
data_YAl2Ga4
_chemical_formula_sum 'Y1 Al2 Ga4'
_cell_length_a 10.4313
_cell_length_b 10.4313
_cell_length_c 10.4313
_cell_angle_alpha 22.91
_cell_angle_beta 22.91
_cell_angle_gamma 22.91
_space_group_name_H-M_alt 'P 1'
_space_group_IT_number 1
_space_group_name_Hall 'P 1'
loop_
_atom_site_label
_atom_site_fract_x
_atom_site_fract_y
_atom_site_fract_z
_atom_site_occupancy
Y1 0.0000 0.0000 0.0000 1
Al1 0.1876 0.1876 0.1876 1
Al2 0.8124 0.8124 0.8124 1
Ga1 0.1000 0.1000 0.1000 1
Ga2 0.2728 0.2728 0.2728 1
Ga3 0.7272 0.7272 0.7272 1
Ga4 0.9000 0.9000 0.9000 1



(7)
# B5C7 PBE relaxed
# * calculated total energy: -7.817 eV/atom
# * space group: Pm (6)
data_B5C7
_chemical_formula_sum 'B5 C7'
_cell_length_a 3.7276
_cell_length_b 2.6100
_cell_length_c 8.4449
_cell_angle_alpha 90.00
_cell_angle_beta 90.67
_cell_angle_gamma 90.00
_space_group_name_H-M_alt 'P 1'
_space_group_IT_number 1
_space_group_name_Hall 'P 1'
loop_
_atom_site_label
_atom_site_fract_x
_atom_site_fract_y
_atom_site_fract_z
_atom_site_occupancy
B1 0.0000 0.0000 0.0000 1
B2 0.0179 0.0000 0.6950 1
B3 0.2986 0.0000 0.2516 1
B4 0.4716 0.5000 0.8280 1
B5 0.7892 0.5000 0.0948 1
C1 0.0091 0.0000 0.3923 1
C2 0.2718 0.0000 0.8698 1
C3 0.2765 0.0000 0.5345 1
C4 0.5156 0.5000 0.5390 1
C5 0.5258 0.5000 0.2322 1
C6 0.7487 0.5000 0.6893 1
C7 0.7765 0.5000 0.3893 1



(8)
# LaNdGaCo PBE relaxed
# * calculated total energy: -5.152 eV/atom
# * space group: F-43m (216)
data_LaNdGaCo
_chemical_formula_sum 'La1 Nd1 Ga1 Co1'
_cell_length_a 5.1490
_cell_length_b 5.1490
_cell_length_c 5.1490
_cell_angle_alpha 60.00
_cell_angle_beta 60.00
_cell_angle_gamma 60.00
_space_group_name_H-M_alt 'P 1'
_space_group_IT_number 1
_space_group_name_Hall 'P 1'
loop_
_atom_site_label
_atom_site_fract_x
_atom_site_fract_y
_atom_site_fract_z
_atom_site_occupancy
La1 0.0000 0.0000 0.0000 1
Nd1 0.5000 0.5000 0.5000 1
Ga1 0.2500 0.2500 0.2500 1
Co1 0.7500 0.7500 0.7500 1



(9)
# CsRbCu2Br6 PBE relaxed
# * calculated total energy: -2.861 eV/atom
# * space group: C2/c (15)
# * ΔE_f (raw): -856 meV per atom
data_CsRbCu2Br6
_chemical_formula_sum 'Cs2 Rb2 Cu4 Br12'
_cell_length_a 9.5625
_cell_length_b 9.5625
_cell_length_c 10.2123
_cell_angle_alpha 105.74
_cell_angle_beta 105.74
_cell_angle_gamma 98.58
_space_group_name_H-M_alt 'P 1'
_space_group_IT_number 1
_space_group_name_Hall 'P 1'
loop_
_atom_site_label
_atom_site_fract_x
_atom_site_fract_y
_atom_site_fract_z
_atom_site_occupancy
Cs1 0.1320 0.8680 0.7500 1
Cs2 0.8680 0.1320 0.2500 1
Rb1 0.4458 0.5542 0.2500 1
Rb2 0.5542 0.4458 0.7500 1
Cu1 0.0881 0.3658 0.6811 1
Cu2 0.3658 0.0881 0.1811 1
Cu3 0.6342 0.9119 0.8189 1
Cu4 0.9119 0.6342 0.3189 1
Br1 0.1314 0.5625 0.3767 1
Br2 0.1809 0.1988 0.0940 1
Br3 0.1988 0.1809 0.5940 1
Br4 0.2582 0.5584 0.8826 1
Br5 0.4375 0.8686 0.1233 1
Br6 0.4416 0.7418 0.6174 1
Br7 0.5584 0.2582 0.3826 1
Br8 0.5625 0.1314 0.8767 1
Br9 0.7418 0.4416 0.1174 1
Br10 0.8012 0.8191 0.4060 1
Br11 0.8191 0.8012 0.9060 1
Br12 0.8686 0.4375 0.6233 1



(10)
# Na3SiGe PBE relaxed
# * calculated total energy: -2.162 eV/atom
# * space group: Pm-3m (221)
# * ΔE_f (raw): 638 meV per atom
data_Na3SiGe
_chemical_formula_sum 'Na3 Si1 Ge1'
_cell_length_a 5.4342
_cell_length_b 5.4342
_cell_length_c 5.4342
_cell_angle_alpha 90.00
_cell_angle_beta 90.00
_cell_angle_gamma 90.00
_space_group_name_H-M_alt 'P 1'
_space_group_IT_number 1
_space_group_name_Hall 'P 1'
loop_
_atom_site_label
_atom_site_fract_x
_atom_site_fract_y
_atom_site_fract_z
_atom_site_occupancy
Na1 0.0000 0.0000 0.5000 1
Na2 0.0000 0.5000 0.0000 1
Na3 0.5000 0.0000 0.0000 1
Si1 0.0000 0.0000 0.0000 1
Ge1 0.5000 0.5000 0.5000 1



(11)
# LiInOs2 PBE relaxed
# * calculated total energy: -6.184 eV/atom
# * space group: I-42d (122)
data_LiInOs2
_chemical_formula_sum 'Li2 In2 Os4'
_cell_length_a 9.6951
_cell_length_b 9.6951
_cell_length_c 9.6951
_cell_angle_alpha 156.75
_cell_angle_beta 156.75
_cell_angle_gamma 33.11
_space_group_name_H-M_alt 'P 1'
_space_group_IT_number 1
_space_group_name_Hall 'P 1'
loop_
_atom_site_label
_atom_site_fract_x
_atom_site_fract_y
_atom_site_fract_z
_atom_site_occupancy
Li1 0.0000 0.0000 0.0000 1
Li2 0.7500 0.2500 0.5000 1
In1 0.2500 0.7500 0.5000 1
In2 0.5000 0.5000 0.0000 1
Os1 0.0441 0.1250 0.4191 1
Os2 0.3750 0.9559 0.0809 1
Os3 0.7059 0.6250 0.5809 1
Os4 0.8750 0.2941 0.9191 1



(12)
# TbDyHg PBE relaxed
# * calculated total energy: -3.361 eV/atom
# * space group: P3m1 (156)
data_TbDyHg
_chemical_formula_sum 'Tb1 Dy1 Hg1'
_cell_length_a 5.1395
_cell_length_b 5.1395
_cell_length_c 3.7177
_cell_angle_alpha 90.00
_cell_angle_beta 90.00
_cell_angle_gamma 120.00
_space_group_name_H-M_alt 'P 1'
_space_group_IT_number 1
_space_group_name_Hall 'P 1'
loop_
_atom_site_label
_atom_site_fract_x
_atom_site_fract_y
_atom_site_fract_z
_atom_site_occupancy
Tb1 0.0000 0.0000 0.0000 1
Dy1 0.6667 0.3333 0.5366 1
Hg1 0.3333 0.6667 0.2892 1



no.,calculated density (Mg/m³)
1,3.63
2,6.51
3,8.13
4,4.39
5,8.91
6,4.64
7,2.79
8,7.08
9,3.26
10,1.76
11,11.76
12,10.19